Entry 1:
This record from Alexandria describes an optimized crystal structure of TmPaTcAu. The functional is PBE.

Output
energy	-7.1615	eV/atom
crystal system	cubic

Cell: 4.9508 4.9508 4.9508 Å, 60.00 60.00 60.00°
Positions (direct):
Tm  0.0000  0.0000  0.0000
Pa  0.5000  0.5000  0.5000
Tc  0.7500  0.7500  0.7500
Au  0.2500  0.2500  0.2500

***

Entry 2:
This record from Alexandria describes an optimized crystal structure of Ba2SrMgIr. The functional is PBE.

Output
energy	-3.2102	eV/atom
crystal system	tetragonal

Cell: 6.1490 6.1490 5.3701 Å, 90.00 90.00 90.00°
Positions (direct):
Ba  0.0000  0.5000  0.0000
Ba  0.5000  0.0000  0.0000
Sr  0.0000  0.0000  0.5000
Mg  0.5000  0.5000  0.5000
Ir  0.5000  0.5000  0.0000

***

Entry 3:
This record from Alexandria describes an optimized crystal structure of BaNi2Au2. The functional is PBE.

Output
energy	-4.1001	eV/atom
crystal system	tetragonal

Cell: 6.2333 6.2333 6.2333 Å, 138.06 138.06 60.80°
Positions (direct):
Ba  0.0000  0.0000  0.0000
Ni  0.2500  0.7500  0.5000
Ni  0.7500  0.2500  0.5000
Au  0.3699  0.3699  0.0000
Au  0.6301  0.6301  0.0000

***

Calculated formation energy in order - -0.2588, -0.0136, -0.0921 eV per atom
Calculated magnetic moment in order - 0.00, 0.00, 0.00 μB/f.u.